Entry 1:
Here is a geometry-optimized Ta2AlRh6 structure from the Alexandria database. Energies are from GGA-PBE.

Cell lengths 4.1962, 5.9625, 7.1760 Å; angles 114.55, 106.99, 90.00 degrees
Atoms (fractional coordinates):
Ta1 0.3381 0.3380 0.6760
Rh1 0.1651 0.4115 0.3305
Al1 0.0000 0.0000 0.0000
Rh2 0.1651 0.9190 0.3305
Rh3 0.8349 0.0810 0.6695
Rh4 0.8349 0.5885 0.6695
Rh5 0.5000 0.2365 0.0000
Ta2 0.6619 0.6620 0.3240
Rh6 0.5000 0.7635 0.0000

Output
D(E_F)   5.35 states/eV/f.u.
Electronic total energy   -8.2718 eV/atom
Magnetization   0.00 μB per cell


Entry 2:
Here is a geometry-optimized K2In4AgPb3 structure from the Alexandria database. Energies are from GGA-PBE.

Cell lengths 5.0623, 5.0623, 12.8692 Å; angles 90.00, 90.00, 90.00 degrees
Atoms (fractional coordinates):
Pb1 0.0000 0.5000 0.1406
In1 0.0000 0.0000 0.0000
Ag1 0.5000 0.5000 0.5000
K1 0.5000 0.0000 0.2580
In2 0.5000 0.5000 0.0000
Pb2 0.5000 0.0000 0.8594
Pb3 0.0000 0.0000 0.5000
In3 0.5000 0.0000 0.6239
K2 0.0000 0.5000 0.7420
In4 0.0000 0.5000 0.3761

Output
D(E_F)   4.84 states/eV/f.u.
Electronic total energy   -2.7730 eV/atom
Magnetization   0.00 μB per cell


Entry 3:
Here is a geometry-optimized Ti2Cr2Ru structure from the Alexandria database. Energies are from GGA-PBE.

Cell lengths 6.0359, 6.0359, 4.0802 Å; angles 90.00, 90.00, 90.00 degrees
Atoms (fractional coordinates):
Cr1 0.3731 0.8731 0.0000
Ru1 0.5000 0.5000 0.0000
Cr2 0.8731 0.6269 0.0000
Ti1 0.6762 0.8238 0.5000
Ti2 0.8238 0.3238 0.5000
Cr3 0.6269 0.1269 0.0000
Ru2 0.0000 0.0000 0.0000
Ti3 0.1762 0.6762 0.5000
Ti4 0.3238 0.1762 0.5000
Cr4 0.1269 0.3731 0.0000

Output
D(E_F)   4.06 states/eV/f.u.
Electronic total energy   -8.7909 eV/atom
Magnetization   0.00 μB per cell